Here is a relaxed structure of CrAuICl from Alexandria via LeMat-Bulk. Energies are from PBE-GGA.

Cell: 3.661 4.974 7.151 Å, 110.30 105.66 90.21°
Atoms (fractional coordinates):
Cr1 0.991 0.355 0.960
Au1 0.771 0.795 0.839
I1 0.328 0.200 0.650
Cl1 0.615 0.472 0.196

Values from the calculation:
* mass density: 5.8 g cm⁻³
* size of the total moment: 3.088 μB/f.u.
* raw formation energy: -194 meV per atom
* electronic total energy: -17.1 eV for the cell shown



Here is a relaxed structure of CrIrAuCl2 from Alexandria via LeMat-Bulk. Energies are from PBE-GGA.

Cell: 4.237 5.500 4.237 Å, 90.00 90.00 90.00°
Atoms (fractional coordinates):
Cr1 0.000 0.000 0.000
Au1 0.000 0.500 0.000
Cl1 0.500 0.000 0.000
Cl2 0.000 0.000 0.500
Ir1 0.500 0.500 0.500

Values from the calculation:
* mass density: 8.6 g cm⁻³
* size of the total moment: 0.010 μB/f.u.
* raw formation energy: 984 meV per atom
* electronic total energy: -20.5 eV for the cell shown